Density functional theory data (PBE) for La2Hg after structural relaxation.

Summary:
For the total energy, the calculation gives -3.72 eV per atom. Its formation energy is -0.33 eV per atom. For the size of the total moment, the calculation gives 0.1 μB per formula unit. For the density of states at the Fermi level, the calculation gives 1.411 states/eV/atom. The symmetry is P4/mmm, No. 123.

Cell lengths 3.8659, 3.8659, 12.8811 Å; angles 90.00, 90.00, 90.00 degrees
Site moments in Bohr magnetons follow the coordinates.
Fractional positions:
La (0.5000, 0.5000, 0.0000)  0.11
La (0.5000, 0.5000, 0.3060)  0.00
La (0.0000, 0.0000, 0.5000)  0.00
La (0.5000, 0.5000, 0.6940)  0.00
Hg (0.0000, 0.0000, 0.8436)  0.00
Hg (0.0000, 0.0000, 0.1564)  0.00

***

Density functional theory data (PBE) for In2IrI after structural relaxation.

Summary:
For the total energy, the calculation gives -3.27 eV per atom. The raw formation energy comes out at 707 meV/atom. For the size of the total moment, the calculation gives 0.0 μB per formula unit. For the density of states at the Fermi level, the calculation gives 0.948 states/eV/atom. The symmetry is Fm-3m, No. 225.

Cell lengths 5.1295, 5.1295, 5.1295 Å; angles 60.00, 60.00, 60.00 degrees
Fractional positions:
I (0.0000, 0.0000, 0.0000)
Ir (0.5000, 0.5000, 0.5000)
In (0.2500, 0.2500, 0.2500)
In (0.7500, 0.7500, 0.7500)

***

Number 1: calculated volume 32.08 Å³ per atom. Number 2: calculated volume 23.86 Å³ per atom.